No. 1
# AcGdGePd

A geometry-optimized AcGdGePd structure (GGA-PBE, Alexandria).

Unit cell a=5.276 b=5.276 c=5.276 alpha=60.00 beta=60.00 gamma=60.00
Atoms (fractional coordinates):
Ac 0.000 0.000 0.000
Gd 0.500 0.500 0.500
Ge 0.750 0.750 0.750
Pd 0.250 0.250 0.250

Calculated values
Energy of formation from the pure elements in eV/atom: -0.68
ρ in g/cm3: 9.01
Crystal system: cubic

=====

No. 2
# AcPmGdGe

A geometry-optimized AcPmGdGe structure (GGA-PBE, Alexandria).

Unit cell a=5.492 b=5.492 c=5.492 alpha=60.00 beta=60.00 gamma=60.00
Atoms (fractional coordinates):
Ac 0.000 0.000 0.000
Pm 0.250 0.250 0.250
Gd 0.750 0.750 0.750
Ge 0.500 0.500 0.500

Calculated values
Energy of formation from the pure elements in eV/atom: -0.04
ρ in g/cm3: 8.53
Crystal system: cubic

=====

No. 3
# AcGdGePt

A geometry-optimized AcGdGePt structure (GGA-PBE, Alexandria).

Unit cell a=5.264 b=5.264 c=5.264 alpha=60.00 beta=60.00 gamma=60.00
Atoms (fractional coordinates):
Ac 0.000 0.000 0.000
Gd 0.500 0.500 0.500
Ge 0.750 0.750 0.750
Pt 0.250 0.250 0.250

Calculated values
Energy of formation from the pure elements in eV/atom: -0.81
ρ in g/cm3: 10.50
Crystal system: cubic

=====

No. 4
# AcGdGeRh

A geometry-optimized AcGdGeRh structure (GGA-PBE, Alexandria).

Unit cell a=5.215 b=5.215 c=5.215 alpha=60.00 beta=60.00 gamma=60.00
Atoms (fractional coordinates):
Ac 0.000 0.000 0.000
Gd 0.500 0.500 0.500
Ge 0.250 0.250 0.250
Rh 0.750 0.750 0.750

Calculated values
Energy of formation from the pure elements in eV/atom: -0.55
ρ in g/cm3: 9.27
Crystal system: cubic

=====

No. 5
# AcGdGeRu

A geometry-optimized AcGdGeRu structure (GGA-PBE, Alexandria).

Unit cell a=5.195 b=5.195 c=5.195 alpha=60.00 beta=60.00 gamma=60.00
Atoms (fractional coordinates):
Ac 0.000 0.000 0.000
Gd 0.500 0.500 0.500
Ge 0.750 0.750 0.750
Ru 0.250 0.250 0.250

Calculated values
Energy of formation from the pure elements in eV/atom: -0.25
ρ in g/cm3: 9.35
Crystal system: cubic

=====

No. 6
# AcGdSiGe

A geometry-optimized AcGdSiGe structure (GGA-PBE, Alexandria).

Unit cell a=5.295 b=5.295 c=5.295 alpha=60.00 beta=60.00 gamma=60.00
Atoms (fractional coordinates):
Ac 0.000 0.000 0.000
Gd 0.500 0.500 0.500
Si 0.250 0.250 0.250
Ge 0.750 0.750 0.750

Calculated values
ρ in g/cm3: 7.67
Crystal system: cubic
Energy relative to the elements, uncorrected in meV per atom: -433

=====

No. 7
# AcGdTlGe

A geometry-optimized AcGdTlGe structure (GGA-PBE, Alexandria).

Unit cell a=5.494 b=5.494 c=5.494 alpha=60.00 beta=60.00 gamma=60.00
Atoms (fractional coordinates):
Ac 0.000 0.000 0.000
Gd 0.500 0.500 0.500
Tl 0.750 0.750 0.750
Ge 0.250 0.250 0.250

Calculated values
Energy of formation from the pure elements in eV/atom: -0.41
ρ in g/cm3: 9.36
Crystal system: cubic

=====

No. 8
# AcGdZnGe

A geometry-optimized AcGdZnGe structure (GGA-PBE, Alexandria).

Unit cell a=5.308 b=5.308 c=5.308 alpha=60.00 beta=60.00 gamma=60.00
Atoms (fractional coordinates):
Ac 0.000 0.000 0.000
Gd 0.500 0.500 0.500
Zn 0.750 0.750 0.750
Ge 0.250 0.250 0.250

Calculated values
Energy of formation from the pure elements in eV/atom: -0.44
ρ in g/cm3: 8.20
Crystal system: cubic

=====

No. 9
# AcGdH

A geometry-optimized AcGdH structure (GGA-PBE, Alexandria).

Unit cell a=6.798 b=6.798 c=6.798 alpha=148.75 beta=148.75 gamma=44.78
Atoms (fractional coordinates):
Ac 0.000 0.000 0.000
Gd 0.291 0.291 0.000
H 0.469 0.469 0.000

Calculated values
VASP energy in eV for the cell shown: -21.77
ρ in g/cm3: 7.59
Crystal system: tetragonal

=====

No. 10
# AcGdH

A geometry-optimized AcGdH structure (GGA-PBE, Alexandria).

Unit cell a=3.819 b=3.819 c=6.095 alpha=90.00 beta=90.00 gamma=120.00
Atoms (fractional coordinates):
Ac 0.000 0.000 0.000
Gd 0.333 0.667 0.486
H 0.667 0.333 0.285

Calculated values
VASP energy in eV for the cell shown: -22.05
ρ in g/cm3: 8.31
Crystal system: trigonal

=====

No. 11
# AcGdHg4

A geometry-optimized AcGdHg4 structure (GGA-PBE, Alexandria).

Unit cell a=6.117 b=6.117 c=6.117 alpha=60.00 beta=60.00 gamma=60.00
Atoms (fractional coordinates):
Ac 0.000 0.000 0.000
Gd 0.750 0.750 0.750
Hg 0.375 0.375 0.375
Hg 0.375 0.375 0.874
Hg 0.375 0.874 0.375
Hg 0.874 0.375 0.375

Calculated values
Energy of formation from the pure elements in eV/atom: -0.28
ρ in g/cm3: 12.17
Crystal system: cubic

=====

No. 12
# AcGdHg

A geometry-optimized AcGdHg structure (GGA-PBE, Alexandria).

Unit cell a=5.380 b=5.380 c=5.380 alpha=60.00 beta=60.00 gamma=60.00
Atoms (fractional coordinates):
Ac 0.000 0.000 0.000
Gd 0.500 0.500 0.500
Hg 0.750 0.750 0.750

Calculated values
Energy of formation from the pure elements in eV/atom: -0.12
ρ in g/cm3: 8.82
Crystal system: cubic

=====

No. 13
# AcGd2Hg

A geometry-optimized AcGd2Hg structure (GGA-PBE, Alexandria).

Unit cell a=5.597 b=5.597 c=5.597 alpha=60.00 beta=60.00 gamma=60.00
Atoms (fractional coordinates):
Ac 0.000 0.000 0.000
Gd 0.250 0.250 0.250
Gd 0.750 0.750 0.750
Hg 0.500 0.500 0.500

Calculated values
Energy of formation from the pure elements in eV/atom: -0.01
ρ in g/cm3: 9.94
Crystal system: cubic

=====

No. 14
# AcGdHg

A geometry-optimized AcGdHg structure (GGA-PBE, Alexandria).

Unit cell a=5.338 b=5.338 c=4.064 alpha=90.00 beta=90.00 gamma=120.00
Atoms (fractional coordinates):
Ac 0.000 0.000 0.000
Gd 0.667 0.333 0.500
Hg 0.333 0.667 0.500

Calculated values
Energy of formation from the pure elements in eV/atom: -0.21
ρ in g/cm3: 9.69
Crystal system: hexagonal

=====

No. 15
# AcGd2Hg

A geometry-optimized AcGd2Hg structure (GGA-PBE, Alexandria).

Unit cell a=4.969 b=4.969 c=5.111 alpha=90.00 beta=90.00 gamma=90.00
Atoms (fractional coordinates):
Ac 0.000 0.000 0.000
Gd 0.000 0.500 0.500
Gd 0.500 0.000 0.500
Hg 0.500 0.500 0.000

Calculated values
Energy of formation from the pure elements in eV/atom: -0.14
ρ in g/cm3: 9.77
Crystal system: tetragonal

=====

No. 16
# AcGd2Hg

A geometry-optimized AcGd2Hg structure (GGA-PBE, Alexandria).

Unit cell a=3.768 b=3.768 c=9.041 alpha=90.00 beta=90.00 gamma=90.00
Atoms (fractional coordinates):
Ac 0.000 0.000 0.000
Gd 0.500 0.500 0.294
Gd 0.500 0.500 0.706
Hg 0.000 0.000 0.500

Calculated values
Energy of formation from the pure elements in eV/atom: -0.24
ρ in g/cm3: 9.60
Crystal system: tetragonal

=====

No. 17
# AcGdHg

A geometry-optimized AcGdHg structure (GGA-PBE, Alexandria).

Unit cell a=7.089 b=7.089 c=7.089 alpha=148.24 beta=148.24 gamma=45.53
Atoms (fractional coordinates):
Ac 0.000 0.000 0.000
Gd 0.299 0.299 0.000
Hg 0.673 0.673 0.000

Calculated values
Energy of formation from the pure elements in eV/atom: -0.31
ρ in g/cm3: 9.87
Crystal system: tetragonal

=====

No. 18
# AcGdHgIr

A geometry-optimized AcGdHgIr structure (GGA-PBE, Alexandria).

Unit cell a=5.288 b=5.288 c=5.288 alpha=60.00 beta=60.00 gamma=60.00
Atoms (fractional coordinates):
Ac 0.000 0.000 0.000
Gd 0.500 0.500 0.500
Hg 0.750 0.750 0.750
Ir 0.250 0.250 0.250

Calculated values
Energy of formation from the pure elements in eV/atom: -0.46
ρ in g/cm3: 12.34
Crystal system: cubic

=====

No. 19
# AcLaGdHg

A geometry-optimized AcLaGdHg structure (GGA-PBE, Alexandria).

Unit cell a=5.694 b=5.694 c=5.694 alpha=60.00 beta=60.00 gamma=60.00
Atoms (fractional coordinates):
Ac 0.000 0.000 0.000
La 0.250 0.250 0.250
Gd 0.750 0.750 0.750
Hg 0.500 0.500 0.500

Calculated values
Energy of formation from the pure elements in eV/atom: -0.02
ρ in g/cm3: 9.21
Crystal system: cubic

=====

No. 20
# LiAcGdHg

A geometry-optimized LiAcGdHg structure (GGA-PBE, Alexandria).

Unit cell a=5.505 b=5.505 c=5.505 alpha=60.00 beta=60.00 gamma=60.00
Atoms (fractional coordinates):
Li 0.000 0.000 0.000
Ac 0.750 0.750 0.750
Gd 0.250 0.250 0.250
Hg 0.500 0.500 0.500

Calculated values
Energy of formation from the pure elements in eV/atom: -0.19
ρ in g/cm3: 8.33
Crystal system: cubic

=====

No. 21
# AcGdMgHg

A geometry-optimized AcGdMgHg structure (GGA-PBE, Alexandria).

Unit cell a=5.572 b=5.572 c=5.572 alpha=60.00 beta=60.00 gamma=60.00
Atoms (fractional coordinates):
Ac 0.000 0.000 0.000
Gd 0.500 0.500 0.500
Mg 0.250 0.250 0.250
Hg 0.750 0.750 0.750

Calculated values
Energy of formation from the pure elements in eV/atom: -0.24
ρ in g/cm3: 8.27
Crystal system: cubic

=====

No. 22
# AcNdGdHg

A geometry-optimized AcNdGdHg structure (GGA-PBE, Alexandria).

Unit cell a=5.659 b=5.659 c=5.659 alpha=60.00 beta=60.00 gamma=60.00
Atoms (fractional coordinates):
Ac 0.000 0.000 0.000
Nd 0.750 0.750 0.750
Gd 0.250 0.250 0.250
Hg 0.500 0.500 0.500

Calculated values
Energy of formation from the pure elements in eV/atom: 0.00
ρ in g/cm3: 9.45
Crystal system: cubic

=====

No. 23
# AcGdNiHg

A geometry-optimized AcGdNiHg structure (GGA-PBE, Alexandria).

Unit cell a=5.319 b=5.319 c=5.319 alpha=60.00 beta=60.00 gamma=60.00
Atoms (fractional coordinates):
Ac 0.000 0.000 0.000
Gd 0.500 0.500 0.500
Ni 0.750 0.750 0.750
Hg 0.250 0.250 0.250

Calculated values
Energy of formation from the pure elements in eV/atom: -0.24
ρ in g/cm3: 10.04
Crystal system: cubic

=====

No. 24
# AcGdHgPb

A geometry-optimized AcGdHgPb structure (GGA-PBE, Alexandria).

Unit cell a=5.625 b=5.625 c=5.625 alpha=60.00 beta=60.00 gamma=60.00
Atoms (fractional coordinates):
Ac 0.000 0.000 0.000
Gd 0.500 0.500 0.500
Hg 0.750 0.750 0.750
Pb 0.250 0.250 0.250

Calculated values
Energy of formation from the pure elements in eV/atom: -0.47
ρ in g/cm3: 10.45
Crystal system: cubic

=====

No. 25
# AcGdHgPd

A geometry-optimized AcGdHgPd structure (GGA-PBE, Alexandria).

Unit cell a=5.379 b=5.379 c=5.379 alpha=60.00 beta=60.00 gamma=60.00
Atoms (fractional coordinates):
Ac 0.000 0.000 0.000
Gd 0.500 0.500 0.500
Hg 0.750 0.750 0.750
Pd 0.250 0.250 0.250

Calculated values
Energy of formation from the pure elements in eV/atom: -0.55
ρ in g/cm3: 10.43
Crystal system: cubic

=====

No. 26
# AcGdHgRh

A geometry-optimized AcGdHgRh structure (GGA-PBE, Alexandria).

Unit cell a=5.308 b=5.308 c=5.308 alpha=60.00 beta=60.00 gamma=60.00
Atoms (fractional coordinates):
Ac 0.000 0.000 0.000
Gd 0.500 0.500 0.500
Hg 0.250 0.250 0.250
Rh 0.750 0.750 0.750

Calculated values
Energy of formation from the pure elements in eV/atom: -0.48
ρ in g/cm3: 10.80
Crystal system: cubic

=====

No. 27
# AcSmGdHg

A geometry-optimized AcSmGdHg structure (GGA-PBE, Alexandria).

Unit cell a=5.635 b=5.635 c=5.635 alpha=60.00 beta=60.00 gamma=60.00
Atoms (fractional coordinates):
Ac 0.000 0.000 0.000
Sm 0.750 0.750 0.750
Gd 0.250 0.250 0.250
Hg 0.500 0.500 0.500

Calculated values
Energy of formation from the pure elements in eV/atom: 0.01
ρ in g/cm3: 9.65
Crystal system: cubic

=====

No. 28
# AcGdSnHg

A geometry-optimized AcGdSnHg structure (GGA-PBE, Alexandria).

Unit cell a=5.570 b=5.570 c=5.570 alpha=60.00 beta=60.00 gamma=60.00
Atoms (fractional coordinates):
Ac 0.000 0.000 0.000
Gd 0.500 0.500 0.500
Sn 0.750 0.750 0.750
Hg 0.250 0.250 0.250

Calculated values
Energy of formation from the pure elements in eV/atom: -0.55
ρ in g/cm3: 9.56
Crystal system: cubic

=====

No. 29
# AcGdTlHg

A geometry-optimized AcGdTlHg structure (GGA-PBE, Alexandria).

Unit cell a=5.596 b=5.596 c=5.596 alpha=60.00 beta=60.00 gamma=60.00
Atoms (fractional coordinates):
Ac 0.000 0.000 0.000
Gd 0.500 0.500 0.500
Tl 0.250 0.250 0.250
Hg 0.750 0.750 0.750

Calculated values
Energy of formation from the pure elements in eV/atom: -0.41
ρ in g/cm3: 10.58
Crystal system: cubic

=====

No. 30
# AcGd2Ho

A geometry-optimized AcGd2Ho structure (GGA-PBE, Alexandria).

Unit cell a=3.705 b=3.705 c=10.230 alpha=90.00 beta=90.00 gamma=90.00
Atoms (fractional coordinates):
Ac 0.000 0.000 0.000
Gd 0.500 0.500 0.266
Gd 0.500 0.500 0.734
Ho 0.000 0.000 0.500

Calculated values
Energy of formation from the pure elements in eV/atom: 0.05
ρ in g/cm3: 8.35
Crystal system: tetragonal

=====

No. 31
# Ac2GdHo

A geometry-optimized Ac2GdHo structure (GGA-PBE, Alexandria).

Unit cell a=5.996 b=5.996 c=5.996 alpha=60.00 beta=60.00 gamma=60.00
Atoms (fractional coordinates):
Ac 0.250 0.250 0.250
Ac 0.750 0.750 0.750
Gd 0.000 0.000 0.000
Ho 0.500 0.500 0.500

Calculated values
Energy of formation from the pure elements in eV/atom: 0.09
ρ in g/cm3: 8.46
Crystal system: cubic